Record 1
# ZnCd3Te2F6

A relaxed ZnCd3Te2F6 crystal (GGA-PBE, Alexandria).

Properties
The space-group type is C2/m (12). The uncorrected formation energy is -1539.5 meV/atom.

Lattice parameters (Å, degrees): 6.3450 6.1665 6.7266 117.28 84.44 90.00
With the nearest neighbours (Å) after each atom.
Fractional coordinates of all 12 atoms:
Zn: 0.5000 0.0000 0.0000  6 F 2.02-2.11
Cd: 0.0000 0.5000 0.0000  4 F 2.67, 2 Te 2.80
Cd: 0.5000 0.5000 0.5000  4 F 2.27-2.28
Cd: 0.5000 0.0000 0.5000  4 F 2.27-2.28
Te: 0.0773 0.7260 0.4519  3 Cd 2.80-3.13, 1 F 2.82
Te: 0.9227 0.2740 0.5481  3 Cd 2.80-3.13, 1 F 2.82
F: 0.6738 0.3175 0.1466  1 Zn 2.11, 1 Cd 2.27
F: 0.3262 0.6825 0.8534  1 Zn 2.11, 1 Cd 2.27
F: 0.6707 0.8476 0.6952  1 Zn 2.02
F: 0.3293 0.1524 0.3048  1 Zn 2.02
F: 0.3262 0.1709 0.8534  1 Zn 2.11, 1 Cd 2.27
F: 0.6738 0.8291 0.1466  1 Zn 2.11, 1 Cd 2.27

---

Record 2
# Zr2MnInW

A relaxed Zr2MnInW crystal (GGA-PBE, Alexandria).

Properties
The space-group type is P4/mmm (123). The formation energy is 1.02 eV per atom.

Lattice parameters (Å, degrees): 5.0326 5.2765 5.0326 90.00 90.00 90.00
With the nearest neighbours (Å) after each atom.
Fractional coordinates of all 5 atoms:
Mn: 0.5000 0.5000 0.5000  4 In 3.56, 8 Zr 3.65
Zr: 0.0000 0.0000 0.5000  2 W 2.52
Zr: 0.5000 0.0000 0.0000  2 W 2.52
W: 0.0000 0.0000 0.0000  4 Zr 2.52, 2 In 2.64
In: 0.0000 0.5000 0.0000  2 W 2.64

---

Record 3
# CaLaIn

A relaxed CaLaIn crystal (GGA-PBE, Alexandria).

Properties
The space-group type is P-1 (2). The energy above the most stable polymorph in this dataset is 0.131 eV/atom. The formation energy is -0.31 eV per atom.

Lattice parameters (Å, degrees): 4.0491 6.8552 8.8162 97.72 76.82 126.21
With the nearest neighbours (Å) after each atom.
Fractional coordinates of all 6 atoms:
Ca: 0.9458 0.2753 0.3950  2 In 3.22, 4 Ca 3.43
Ca: 0.9515 0.7754 0.3813  2 In 3.22, 4 Ca 3.43
La: 0.6311 0.7755 0.0082  2 La 3.45, 6 In 3.50-3.54, 2 Ca 3.78-3.80
La: 0.2676 0.2764 0.7681  2 La 3.45, 6 In 3.50-3.54, 2 Ca 3.78-3.80
In: 0.5906 0.2753 0.1033  2 Ca 3.22, 6 La 3.50-3.54
In: 0.3079 0.7766 0.6730  2 Ca 3.22, 6 La 3.50-3.54

---

Record 4
# Li2CdIn2Hg7

A relaxed Li2CdIn2Hg7 crystal (GGA-PBE, Alexandria).

Properties
The space-group type is Imm2 (44). The formation energy is -0.09 eV per atom.

Lattice parameters (Å, degrees): 5.4425 5.4615 10.2854 105.40 105.34 90.00
With the nearest neighbours (Å) after each atom.
Fractional coordinates of all 12 atoms:
Li: 0.2502 0.7519 0.5005  6 Hg 2.94-3.18, 4 In 3.08-3.27
Li: 0.7498 0.2514 0.4995  6 Hg 2.94-3.18, 4 In 3.08-3.27
Cd: 0.0000 0.9727 0.0000  10 Hg 3.20-3.39
In: 0.3352 0.3580 0.6704  6 Hg 3.01-3.14, 4 Li 3.08-3.27
In: 0.6648 0.6877 0.3296  6 Hg 3.01-3.14, 4 Li 3.08-3.27
Hg: 0.4121 0.9371 0.8241  1 Li 3.09, 2 In 3.09-3.11, 5 Hg 3.18-3.35, 2 Cd 3.21
Hg: 0.8223 0.7992 0.6446  4 Li 2.94-3.18, 1 In 3.01, 4 Hg 3.20-3.25
Hg: 0.0878 0.5598 0.1756  1 Li 3.10, 2 In 3.10, 2 Cd 3.20-3.21, 5 Hg 3.20-3.35
Hg: 0.5879 0.1129 0.1759  1 Li 3.09, 2 In 3.09-3.11, 5 Hg 3.18-3.35, 2 Cd 3.21
Hg: 0.1777 0.1546 0.3554  4 Li 2.94-3.18, 1 In 3.01, 4 Hg 3.20-3.25
Hg: 0.9122 0.3842 0.8244  1 Li 3.10, 2 In 3.10, 2 Cd 3.20-3.21, 5 Hg 3.20-3.35
Hg: 0.5000 0.5302 0.0000  2 In 3.14, 8 Hg 3.18-3.23

---

Record 5
# TcSbRu2

A relaxed TcSbRu2 crystal (GGA-PBE, Alexandria).

Properties
The space-group type is Immm (71). The uncorrected formation energy is 255.0 meV/atom.

Lattice parameters (Å, degrees): 5.2373 5.2373 5.2373 145.47 128.97 63.08
With the nearest neighbours (Å) after each atom.
Fractional coordinates of all 4 atoms:
Ru: 0.9840 0.9840 0.0000  2 Sb 2.60, 4 Ru 2.75, 2 Tc 2.84
Ru: 0.5160 0.5160 0.0000  2 Sb 2.60, 4 Ru 2.75, 2 Tc 2.84
Sb: 0.7500 0.2500 0.5000  4 Ru 2.60, 4 Tc 2.74
Tc: 0.2500 0.7500 0.5000  4 Sb 2.74, 4 Ru 2.84

---

Record 6
# Th4SiAsS2

A relaxed Th4SiAsS2 crystal (GGA-PBE, Alexandria).

Properties
The space-group type is P2/m (10). The uncorrected formation energy is -1455.0 meV/atom.

Lattice parameters (Å, degrees): 4.1848 7.1161 7.2641 70.14 90.00 90.00
With the nearest neighbours (Å) after each atom.
Fractional coordinates of all 8 atoms:
Th: 0.0000 0.7568 0.7424  3 S 2.90-2.95, 1 Si 2.94, 2 As 2.98
Th: 0.0000 0.2432 0.2576  3 S 2.90-2.95, 1 Si 2.94, 2 As 2.98
Th: 0.5000 0.7537 0.2534  3 S 2.90-2.94, 2 Si 2.94, 1 As 2.98
Th: 0.5000 0.2463 0.7466  3 S 2.90-2.94, 2 Si 2.94, 1 As 2.98
Si: 0.0000 0.5000 0.5000  6 Th 2.94
As: 0.5000 0.5000 0.0000  6 Th 2.98
S: 0.0000 0.0000 0.0000  6 Th 2.94-2.95
S: 0.5000 0.0000 0.5000  6 Th 2.90

---

Record 7
# Ti2C2N

A relaxed Ti2C2N crystal (GGA-PBE, Alexandria).

Properties
The space-group type is I4/mmm (139). The energy above the most stable polymorph in this dataset is 0.000 eV/atom. The uncorrected formation energy is 174.2 meV/atom.

Lattice parameters (Å, degrees): 3.9158 3.9158 4.2599 62.64 62.64 90.00
With the nearest neighbours (Å) after each atom.
Fractional coordinates of all 5 atoms:
C: 0.3945 0.3945 0.2110  1 C 1.37
C: 0.6055 0.6055 0.7890  1 C 1.37
N: 0.0000 0.0000 0.0000  8 Ti 2.54, 2 C 2.55
Ti: 0.7500 0.2500 0.5000  4 C 2.17
Ti: 0.2500 0.7500 0.5000  4 C 2.17

---

Record 8
# CsTiIn2O

A relaxed CsTiIn2O crystal (GGA-PBE, Alexandria).

Properties
The space-group type is P4/mmm (123). The uncorrected formation energy is -487.6 meV/atom.

Lattice parameters (Å, degrees): 6.0958 3.8114 6.0958 90.00 90.00 90.00
With the nearest neighbours (Å) after each atom.
Fractional coordinates of all 5 atoms:
Cs: 0.5000 0.5000 0.5000  8 In 3.59, 2 Cs 3.81
Ti: 0.0000 0.0000 0.0000  2 O 1.91
O: 0.0000 0.5000 0.0000  2 Ti 1.91
In: 0.0000 0.0000 0.5000  2 Ti 3.05
In: 0.5000 0.0000 0.0000  2 Ti 3.05